Below is YMgNiHg after structural relaxation, with properties calculated at the PBE-GGA level.

The space group is F-43m (No. 216) and the conventional cell measures 6.8745, 6.8745 and 6.8745 Å, with angles of 90.00, 90.00 and 90.00 degrees. The asymmetric unit holds Y at (0.0000, 0.0000, 0.0000), Mg at (0.0000, 0.0000, 0.5000), Ni at (0.2500, 0.2500, 0.7500) and Hg at (0.2500, 0.2500, 0.2500).

The calculation puts the calculated total energy at -3.815 eV per atom. For the energy of formation, the calculation gives -279 meV per atom. The magnetic moment is 0.0 μB per cell.